Record 1
Computed, not measured: a geometry-optimized Ga2Bi2Sb structure at the PBE level of DFT.

a b c (Å): 7.7865 7.7865 4.3681
angles (deg): 90.00 90.00 90.00
With the nearest neighbours (Å) after each atom.
Space group P4/mbm (No. 127)
Asymmetric unit:
Ga (0.1184, 0.3816, 0.0000) [4 per cell]  1 Ga 2.61
Bi (0.1997, 0.6997, 0.5000) [4 per cell]  2 Ga 2.96
Sb (0.0000, 0.0000, 0.0000) [2 per cell]  4 Ga 3.11

Results
Fermi-level density of states, states/eV/cell: 6.40
E_form (uncorrected), meV per atom: 168
Polymorph energy (0 for the lowest one), eV/f.u.: 0.25

***

Record 2
Computed, not measured: a geometry-optimized AcEuGe structure at the PBE level of DFT.

a b c (Å): 7.5075 7.5075 7.5075
angles (deg): 90.00 90.00 90.00
With the nearest neighbours (Å) after each atom.
Space group F-43m (No. 216)
Asymmetric unit:
Ac (0.0000, 0.0000, 0.0000) [4 per cell]  4 Ge 3.25
Eu (0.0000, 0.0000, 0.5000) [4 per cell]  4 Ge 3.25
Ge (0.2500, 0.2500, 0.7500) [4 per cell]  4 Ac 3.25, 4 Eu 3.25

Results
DFT formation energy, kJ per mole of atoms: -46.4
Fermi-level density of states, states/eV/cell: 37.34
Polymorph energy (0 for the lowest one), eV/f.u.: 0.00

***

Record 3
Computed, not measured: a geometry-optimized ZrMn2P structure at the PBE level of DFT.

a b c (Å): 3.8017 3.8017 13.8867
angles (deg): 90.00 90.00 120.00
With the nearest neighbours (Å) after each atom.
Space group R3m (No. 160, hexagonal axes)
Asymmetric unit:
Zr (0.0000, 0.0000, 0.0000) [3 per cell]  4 Mn 2.75-2.89, 4 P 2.77-2.95
Mn (0.0000, 0.0000, 0.1984) [3 per cell]  3 Mn 2.22, 3 P 2.44
Mn (0.0000, 0.0000, 0.5058) [3 per cell]  3 Mn 2.22, 3 P 2.31
P (0.0000, 0.0000, 0.7878) [3 per cell]  6 Mn 2.31-2.44

Results
DFT formation energy, kJ per mole of atoms: -50.9
Fermi-level density of states, states/eV/cell: 8.52

***

Record 4
Computed, not measured: a geometry-optimized Nb4Mo5 structure at the PBE level of DFT.

a b c (Å): 4.5540 9.7269 13.6472
angles (deg): 90.00 90.00 90.00
With the nearest neighbours (Å) after each atom.
Space group Fmmm (No. 69)
Asymmetric unit:
Nb (0.0000, 0.1632, 0.1649) [16 per cell]  5 Mo 2.75-2.83, 3 Nb 2.83-2.87
Mo (0.0000, 0.0000, 0.0000) [4 per cell]  4 Nb 2.75, 4 Mo 2.78
Mo (0.0000, 0.0000, 0.3362) [8 per cell]  2 Mo 2.75, 6 Nb 2.78-2.83
Mo (0.0000, 0.1646, 0.5000) [8 per cell]  6 Mo 2.75-2.82, 2 Nb 2.80

Results
DFT formation energy, kJ per mole of atoms: -10.8
Fermi-level density of states, states/eV/cell: 23.82
Polymorph energy (0 for the lowest one), eV/f.u.: 0.00

***

What did we get for size of the total moment? Answer: 0.000; 31.866; 0.007; 0.000 μB per cell, in the order shown.
What did we get for E? Answer: -3.4194; -6.8147; -8.6020; -10.6046 eV per atom, in the order shown.